a | Computed, not measured: a crystal of BeFeIr relaxed with PBEsol at the SCAN level of DFT. Values from VASP.

Computed properties:
- Magnetic moment: 3.22 μB per cell
- SG: P3m1, No. 156
- Calculated volume: 33.06 Å³/f.u.
- Density: 12.9 g/cm³

Quantum ESPRESSO input file:
```
&SYSTEM
  ibrav = 0, nat = 3, ntyp = 3
/
ATOMIC_SPECIES
Be 9.01 Be.upf
Fe 55.84 Fe.upf
Ir 192.22 Ir.upf
ATOMIC_POSITIONS crystal
Be 0.000 0.000 0.000
Fe 0.333 0.667 0.967
Ir 0.667 0.333 0.474
CELL_PARAMETERS angstrom
3.846 0.000 0.000
-1.923 3.331 0.000
0.000 0.000 2.581
```

***

b | Computed, not measured: a crystal of BeFeIr relaxed with PBEsol at the SCAN level of DFT. Values from VASP.

Computed properties:
- Magnetic moment: 3.52 μB per cell
- SG: F-43m, No. 216
- Calculated volume: 36.07 Å³/f.u.
- Density: 11.8 g/cm³

Quantum ESPRESSO input file:
```
&SYSTEM
  ibrav = 0, nat = 3, ntyp = 3
/
ATOMIC_SPECIES
Be 9.01 Be.upf
Fe 55.84 Fe.upf
Ir 192.22 Ir.upf
ATOMIC_POSITIONS crystal
Be 0.000 0.000 0.000
Fe 0.750 0.750 0.750
Ir 0.250 0.250 0.250
CELL_PARAMETERS angstrom
0.000 2.622 2.622
2.622 0.000 2.622
2.622 2.622 0.000
```

***

c | Computed, not measured: a crystal of BeFeIr relaxed with PBEsol at the SCAN level of DFT. Values from VASP.

Computed properties:
- Magnetic moment: 0.00 μB per cell
- SG: Imm2, No. 44
- Calculated volume: 32.70 Å³/f.u.
- Density: 13.1 g/cm³

Quantum ESPRESSO input file:
```
&SYSTEM
  ibrav = 0, nat = 3, ntyp = 3
/
ATOMIC_SPECIES
Be 9.01 Be.upf
Fe 55.84 Fe.upf
Ir 192.22 Ir.upf
ATOMIC_POSITIONS crystal
Be 0.000 0.000 0.000
Fe 0.664 0.664 0.000
Ir 0.333 0.333 0.000
CELL_PARAMETERS angstrom
-1.311 1.715 3.636
1.311 -1.715 3.636
1.311 1.715 -3.636
```

***

Computed stability ranking, most favorable first: a, b, c